A relaxed structure of NdCd2Ag5. Source: Alexandria via LeMat-Bulk, functional PBE. Values from VASP.

Properties
ρ, g/cm³: 8.5
Formation enthalpy at 0 K, meV per atom: -63
Total magnetization, Bohr magnetons per cell: 0.00
Calculated volume, Å³/f.u.: 178

The structure in Quantum ESPRESSO input format:
```
&SYSTEM
  ibrav = 0, nat = 16, ntyp = 3
/
ATOMIC_SPECIES
Nd 144.24 Nd.upf
Cd 112.41 Cd.upf
Ag 107.87 Ag.upf
ATOMIC_POSITIONS crystal
Nd 0.000 0.000 0.000
Nd 0.500 0.500 0.500
Cd 0.000 0.500 0.251
Cd 0.000 0.500 0.749
Cd 0.500 0.000 0.249
Cd 0.500 0.000 0.751
Ag 0.000 0.200 0.379
Ag 0.000 0.200 0.621
Ag 0.000 0.500 0.000
Ag 0.000 0.800 0.379
Ag 0.000 0.800 0.621
Ag 0.500 0.000 0.500
Ag 0.500 0.300 0.121
Ag 0.500 0.300 0.879
Ag 0.500 0.700 0.121
Ag 0.500 0.700 0.879
CELL_PARAMETERS angstrom
3.934 0.000 0.000
0.000 7.621 0.000
0.000 0.000 11.863
```